Computed, not measured: a relaxed Sr2CaAl3Au12 crystal at the GGA-PBE level of DFT.

The calculation puts the formation enthalpy at 0 K at -0.27 eV per atom. Its space-group type is No. 166. The value obtained for the volume is 24.60 Å³ per atom.

Lattice parameters (Å, degrees): 8.036 8.036 8.036 69.94 69.94 69.94
Fractional coordinates of all 18 atoms:
1 Sr 0.603 0.603 0.603
2 Sr 0.397 0.397 0.397
3 Ca 0.000 0.000 0.000
4 Al 0.500 0.000 0.000
5 Al 0.000 0.500 0.000
6 Al 0.000 0.000 0.500
7 Au 0.300 0.300 0.835
8 Au 0.854 0.854 0.378
9 Au 0.378 0.854 0.854
10 Au 0.835 0.300 0.300
11 Au 0.854 0.378 0.854
12 Au 0.300 0.835 0.300
13 Au 0.700 0.700 0.165
14 Au 0.146 0.146 0.622
15 Au 0.622 0.146 0.146
16 Au 0.165 0.700 0.700
17 Au 0.146 0.622 0.146
18 Au 0.700 0.165 0.700